# NaErAg2 (PBE, optimized geometry)
data_NaErAg2
_chemical_formula_sum 'Na1 Er1 Ag2'
_space_group_name_H-M_alt 'P 4/m m m'
_space_group_IT_number 123
_space_group_name_Hall '-P 4 2'
_cell_length_a 3.5853
_cell_length_b 3.5853
_cell_length_c 7.4713
_cell_angle_alpha 90.00
_cell_angle_beta 90.00
_cell_angle_gamma 90.00
loop_
_atom_site_label
_atom_site_fract_x
_atom_site_fract_y
_atom_site_fract_z
Na1 0.0000 0.0000 0.0000
Er1 0.0000 0.0000 0.5000
Ag1 0.5000 0.5000 0.2749
# E_tot ... -3.0468 eV/atom
# Crystal system ... tetragonal
# Formation enthalpy at 0 K ... -0.151 eV per atom



# SiGe2P (PBE, optimized geometry)
data_SiGe2P
_chemical_formula_sum 'Si4 Ge8 P4'
_space_group_name_H-M_alt 'F m -3 m'
_space_group_IT_number 225
_space_group_name_Hall '-F 4 2 3'
_cell_length_a 6.4744
_cell_length_b 6.4744
_cell_length_c 6.4744
_cell_angle_alpha 90.00
_cell_angle_beta 90.00
_cell_angle_gamma 90.00
loop_
_atom_site_label
_atom_site_fract_x
_atom_site_fract_y
_atom_site_fract_z
Si1 0.0000 0.0000 0.0000
Ge1 0.2500 0.2500 0.2500
P1 0.0000 0.0000 0.5000
# E_tot ... -4.5054 eV/atom
# Crystal system ... cubic



# PrInGaAu (PBE, optimized geometry)
data_PrInGaAu
_chemical_formula_sum 'Pr4 In4 Ga4 Au4'
_space_group_name_H-M_alt 'F -4 3 m'
_space_group_IT_number 216
_space_group_name_Hall 'F -4 2 3'
_cell_length_a 7.1856
_cell_length_b 7.1856
_cell_length_c 7.1856
_cell_angle_alpha 90.00
_cell_angle_beta 90.00
_cell_angle_gamma 90.00
loop_
_atom_site_label
_atom_site_fract_x
_atom_site_fract_y
_atom_site_fract_z
Pr1 0.0000 0.0000 0.0000
In1 0.0000 0.0000 0.5000
Ga1 0.2500 0.2500 0.7500
Au1 0.2500 0.2500 0.2500
# E_tot ... -3.9891 eV/atom
# Crystal system ... cubic
# Formation enthalpy at 0 K ... -0.534 eV per atom



# Ho5Ge10Ir4 (PBE, optimized geometry)
data_Ho5Ge10Ir4
_chemical_formula_sum 'Ho10 Ge20 Ir8'
_space_group_name_H-M_alt 'P 4/m b m'
_space_group_IT_number 127
_space_group_name_Hall '-P 4 2ab'
_cell_length_a 13.0139
_cell_length_b 13.0139
_cell_length_c 4.3322
_cell_angle_alpha 90.00
_cell_angle_beta 90.00
_cell_angle_gamma 90.00
loop_
_atom_site_label
_atom_site_fract_x
_atom_site_fract_y
_atom_site_fract_z
Ho1 0.0000 0.0000 0.0000
Ho2 0.1150 0.3850 0.5000
Ho3 0.1736 0.6736 0.5000
Ge1 0.0045 0.8438 0.5000
Ge2 0.0671 0.5671 0.0000
Ge3 0.1641 0.2000 0.0000
Ir1 0.0199 0.7539 0.0000
# E_tot ... -6.2717 eV/atom
# Crystal system ... tetragonal
# Formation enthalpy at 0 K ... -0.771 eV per atom



# Li2PbAu2 (PBE, optimized geometry)
data_Li2PbAu2
_chemical_formula_sum 'Li8 Pb4 Au8'
_space_group_name_H-M_alt 'C 1 2/m 1'
_space_group_IT_number 12
_cell_length_a 12.3679
_cell_length_b 4.3467
_cell_length_c 8.2898
_cell_angle_alpha 90.00
_cell_angle_beta 114.97
_cell_angle_gamma 90.00
loop_
_space_group_symop_operation_xyz
'x,y,z'
'-x,-y,-z'
'-x,y,-z'
'x,-y,z'
'x+1/2,y+1/2,z'
'-x+1/2,-y+1/2,-z'
'-x+1/2,y+1/2,-z'
'x+1/2,-y+1/2,z'
loop_
_atom_site_label
_atom_site_fract_x
_atom_site_fract_y
_atom_site_fract_z
Li1 0.0081 0.0000 0.3372
Li2 0.1965 0.0000 0.0495
Pb1 0.2029 0.5000 0.3136
Au1 0.0671 0.5000 0.9012
Au2 0.1224 0.5000 0.6092
# E_tot ... -3.1619 eV/atom
# Crystal system ... monoclinic
# Formation enthalpy at 0 K ... -0.344 eV per atom



# PrGdSc2 (PBE, optimized geometry)
data_PrGdSc2
_chemical_formula_sum 'Pr3 Gd3 Sc6'
_space_group_name_H-M_alt 'R -3 m'
_space_group_IT_number 166
_space_group_name_Hall '-R 3 2"'
_cell_length_a 3.3555
_cell_length_b 3.3555
_cell_length_c 35.8330
_cell_angle_alpha 90.00
_cell_angle_beta 90.00
_cell_angle_gamma 120.00
loop_
_atom_site_label
_atom_site_fract_x
_atom_site_fract_y
_atom_site_fract_z
Pr1 0.0000 0.0000 0.0000
Gd1 0.0000 0.0000 0.5000
Sc1 0.0000 0.0000 0.0903
# E_tot ... -7.6613 eV/atom
# Crystal system ... trigonal
# Formation enthalpy at 0 K ... 0.220 eV per atom



What V values result from the calculations? In sequence: 24.01; 16.96; 23.19; 19.31; 20.20; 29.12 Å³/atom.
What Fermi-level density of states values result from the calculations? In sequence: 2.18; 1.62; 1.49; 9.00; 1.56; 7.30 states/eV/f.u..
What total moment values result from the calculations? In sequence: 0.00; 0.00; 0.00; 0.00; 0.00; 20.96 Bohr magnetons per cell.